An optimized crystal structure of CsPb2F. Source: the Alexandria database, functional GGA-PBE. Values from VASP.

Quantum ESPRESSO input file:
```
&SYSTEM
  ibrav = 0, nat = 4, ntyp = 3
/
ATOMIC_SPECIES
Cs 132.91 Cs.upf
Pb 207.20 Pb.upf
F 19.00 F.upf
CELL_PARAMETERS angstrom
0.000 4.028 4.028
4.028 0.000 4.028
4.028 4.028 0.000
ATOMIC_POSITIONS angstrom
Cs 0.000 0.000 0.000
Pb 2.014 2.014 2.014
Pb 6.042 6.042 6.042
F 4.028 4.028 4.028
```

Formation energy without anion corrections in eV per atom: -0.121
Total moment in μB per formula unit: 0.000
Energy in eV/cell: -10.6